# 1
## PaCrPbS4 (PBE)

Data for a relaxed structure of PaCrPbS4.

Geometry as POSCAR:
```
PaCrPbS4
1.0
-3.923 4.365 5.001
3.923 -4.365 5.001
3.923 4.365 -5.001
Pa Cr Pb S
2 2 2 8
Direct
0.000 0.000 0.000
0.500 0.000 0.500
0.500 0.000 0.000
0.500 0.500 0.500
0.075 0.325 0.750
0.925 0.675 0.250
0.246 0.212 0.466
0.246 0.780 0.034
0.308 0.739 0.569
0.330 0.261 0.069
0.670 0.739 0.931
0.692 0.261 0.431
0.754 0.220 0.966
0.754 0.788 0.534
```

* ΔE_f (raw): -0.902 eV/atom

---

# 2
## FeIr2Cl (PBE)

Data for a relaxed structure of FeIr2Cl.

Geometry as POSCAR:
```
FeIr2Cl
1.0
2.785 0.000 0.000
0.000 4.480 0.000
0.000 0.000 4.780
Fe Ir Cl
1 2 1
Direct
0.000 0.000 0.000
0.000 0.500 0.500
0.500 0.500 0.000
0.500 0.000 0.500
```

* ΔE_f (raw): 0.644 eV/atom
* ΔE to the lowest computed polymorph: 303 meV per atom

---

# 3
## TaCd4Os (PBE)

Data for a relaxed structure of TaCd4Os.

Geometry as POSCAR:
```
TaCd4Os
1.0
0.000 3.829 3.829
3.829 0.000 3.829
3.829 3.829 0.000
Ta Cd Os
1 4 1
Direct
0.000 0.000 0.000
0.125 0.625 0.625
0.625 0.125 0.625
0.625 0.625 0.125
0.625 0.625 0.625
0.250 0.250 0.250
```

* E_tot: -3.727 eV/atom

---

# 4
## Mg2TcPt2 (PBE)

Data for a relaxed structure of Mg2TcPt2.

Geometry as POSCAR:
```
Mg2TcPt2
1.0
6.691 0.000 0.000
0.000 6.691 0.000
0.000 0.000 3.932
Mg Tc Pt
4 2 4
Direct
0.169 0.331 0.000
0.331 0.831 0.000
0.669 0.169 0.000
0.831 0.669 0.000
0.000 0.000 0.500
0.500 0.500 0.500
0.137 0.637 0.500
0.363 0.137 0.500
0.637 0.863 0.500
0.863 0.363 0.500
```

* E_tot: -5.380 eV/atom

---

# 5
## Li2Sm2Sn3 (PBE)

Data for a relaxed structure of Li2Sm2Sn3.

Geometry as POSCAR:
```
Li2Sm2Sn3
1.0
2.325 -9.947 0.000
2.325 9.947 0.000
0.000 0.000 7.338
Li Sm Sn
4 4 6
Direct
0.196 0.804 0.562
0.196 0.804 0.938
0.804 0.196 0.062
0.804 0.196 0.438
0.342 0.658 0.750
0.450 0.550 0.250
0.550 0.450 0.750
0.658 0.342 0.250
0.069 0.931 0.053
0.069 0.931 0.447
0.280 0.720 0.250
0.720 0.280 0.750
0.931 0.069 0.553
0.931 0.069 0.947
```

* E_tot: -4.238 eV/atom

---

# 6
## Ce2PrZr (PBE)

Data for a relaxed structure of Ce2PrZr.

Geometry as POSCAR:
```
Ce2PrZr
1.0
3.307 0.000 0.000
0.000 3.307 0.000
0.000 0.000 10.357
Ce Pr Zr
2 1 1
Direct
0.000 0.000 0.232
0.000 0.000 0.768
0.500 0.500 0.500
0.500 0.500 0.000
```

* ΔE to the lowest computed polymorph: 0 meV per atom

---

# 7
## Dy2YPaCo2 (PBE)

Data for a relaxed structure of Dy2YPaCo2.

Geometry as POSCAR:
```
Dy2YPaCo2
1.0
-3.428 6.297 3.363
3.428 -6.297 3.363
3.428 6.297 -3.363
Dy Y Pa Co
4 2 2 4
Direct
0.202 0.199 0.401
0.298 0.699 0.997
0.702 0.301 0.003
0.798 0.801 0.599
0.250 0.750 0.500
0.750 0.250 0.500
0.250 0.250 0.000
0.750 0.750 0.000
0.090 0.796 0.886
0.410 0.296 0.706
0.590 0.704 0.294
0.910 0.204 0.114
```

* E_tot: -6.750 eV/atom

---

# 8
## La3ThN (PBE)

Data for a relaxed structure of La3ThN.

Geometry as POSCAR:
```
La3ThN
1.0
5.206 0.000 0.000
0.000 5.206 0.000
0.000 0.000 5.206
La Th N
3 1 1
Direct
0.000 0.000 0.500
0.000 0.500 0.000
0.500 0.000 0.000
0.500 0.500 0.500
0.000 0.000 0.000
```

* ΔE_f (raw): -0.420 eV/atom

---

What did we get for magnetization? Answer: 4.9 4.0 0.0 1.0 0.0 0.0 0.0 0.0 μB/f.u., in the order shown.